Entry 1:
{"formula": "TbPrIr", "functional": "PBE", "state": "optimized geometry", "magnetic_moment_mub_per_cell": 0.00, "e_tot_ev_per_atom": -6.546, "delta_e_f_ev_per_fu": -1.37, "polymorph_energy_mev_per_atom": 126, "cell": [[-0.700, -2.472, 2.441], [-2.013, -1.742, -2.340], [6.620, -1.330, -2.020]], "species": ["Pr", "Ir", "Tb"], "fractional_positions": [[0.962, 0.962, 0.924], [0.328, 0.328, 0.655], [0.711, 0.711, 0.421]]}


Entry 2:
{"formula": "CaPrZnCo", "functional": "PBE", "state": "optimized geometry", "magnetic_moment_mub_per_cell": 0.79, "e_tot_ev_per_atom": -3.785, "delta_e_f_ev_per_fu": 0.02, "cell": [[5.043, 0.000, 0.000], [2.521, 4.367, 0.000], [2.521, 1.456, 4.117]], "species": ["Ca", "Zn", "Pr", "Co"], "fractional_positions": [[0.250, 0.250, 0.250], [0.000, 0.000, 0.000], [0.750, 0.750, 0.750], [0.500, 0.500, 0.500]]}


Entry 3:
{"formula": "FeTc2As", "functional": "PBE", "state": "optimized geometry", "magnetic_moment_mub_per_cell": 2.69, "e_tot_ev_per_atom": -8.113, "delta_e_f_ev_per_fu": 1.39, "polymorph_energy_mev_per_atom": 339, "cell": [[-2.114, 1.508, 0.859], [-0.343, -2.693, 0.329], [3.524, 0.504, 7.792]], "species": ["Tc", "Tc", "Fe", "As"], "fractional_positions": [[0.000, 0.000, 0.996], [0.500, 0.500, 0.246], [0.500, 0.500, 0.748], [0.000, 0.000, 0.510]]}


Entry 4:
{"formula": "InBAs2Br", "functional": "PBE", "state": "optimized geometry", "magnetic_moment_mub_per_cell": 1.23, "e_tot_ev_per_atom": -2.601, "polymorph_energy_mev_per_atom": 923, "formation_energy_uncorrected_ev_per_atom": 1.48, "cell": [[-0.457, -1.324, 5.069], [-4.676, -2.191, -0.993], [2.515, -4.889, -1.050]], "species": ["In", "Br", "As", "As", "B"], "fractional_positions": [[0.000, 0.000, 0.000], [0.000, 0.000, 0.500], [0.000, 0.500, 0.000], [0.500, 0.000, 0.000], [0.500, 0.500, 0.500]]}